Record 1
TbCe2Si2Pt7: optimized geometry, PBE.

CIF file:
```
data_TbCe2Si2Pt7
_chemical_formula_sum 'Tb2 Ce4 Si4 Pt14'
_symmetry_space_group_name_H-M 'C 1 2/m 1'
_symmetry_Int_Tables_number 12
_symmetry_space_group_name_Hall '-C 2y'
_cell_length_a 5.827
_cell_length_b 5.738
_cell_length_c 13.868
_cell_angle_alpha 90.00
_cell_angle_beta 97.99
_cell_angle_gamma 90.00
loop_
_atom_site_label
_atom_site_fract_x
_atom_site_fract_y
_atom_site_fract_z
Tb1 0.000 0.000 0.000
Ce1 0.108 0.000 0.356
Si1 0.086 0.500 0.251
Pt1 0.000 0.500 0.000
Pt2 0.119 0.500 0.424
Pt3 0.196 0.251 0.841
```

Results
As for the raw formation energy: -25.02 kcal/mol of atoms.



Record 2
ScInIrRu: optimized geometry, PBE.

CIF file:
```
data_ScInIrRu
_chemical_formula_sum 'Sc1 In1 Ir1 Ru1'
_symmetry_space_group_name_H-M 'P m m m'
_symmetry_Int_Tables_number 47
_symmetry_space_group_name_Hall '-P 2 2'
_cell_length_a 3.307
_cell_length_b 4.501
_cell_length_c 4.502
_cell_angle_alpha 90.00
_cell_angle_beta 90.00
_cell_angle_gamma 90.00
loop_
_atom_site_label
_atom_site_fract_x
_atom_site_fract_y
_atom_site_fract_z
Sc1 0.000 0.000 0.000
In1 0.000 0.500 0.500
Ir1 0.500 0.500 0.000
Ru1 0.500 0.000 0.500
```

Results
The value obtained for the formation energy is -0.480 eV/atom.



Record 3
TmZr2Zn2: optimized geometry, PBE.

CIF file:
```
data_TmZr2Zn2
_chemical_formula_sum 'Tm4 Zr8 Zn8'
_symmetry_space_group_name_H-M 'C m c m'
_symmetry_Int_Tables_number 63
_symmetry_space_group_name_Hall '-C 2c 2'
_cell_length_a 3.360
_cell_length_b 25.287
_cell_length_c 4.878
_cell_angle_alpha 90.00
_cell_angle_beta 90.00
_cell_angle_gamma 90.00
loop_
_atom_site_label
_atom_site_fract_x
_atom_site_fract_y
_atom_site_fract_z
Tm1 0.000 0.147 0.250
Zr1 0.000 0.045 0.750
Zr2 0.000 0.234 0.750
Zn1 0.000 0.364 0.250
Zn2 0.000 0.451 0.750
```

Results
The value obtained for the formation energy is -0.227 eV/atom.



Record 4
TlSbTe2Cl: optimized geometry, PBE.

CIF file:
```
data_TlSbTe2Cl
_chemical_formula_sum 'Tl1 Sb1 Te2 Cl1'
_symmetry_space_group_name_H-M 'P 4/m m m'
_symmetry_Int_Tables_number 123
_symmetry_space_group_name_Hall '-P 4 2'
_cell_length_a 5.720
_cell_length_b 5.720
_cell_length_c 5.870
_cell_angle_alpha 90.00
_cell_angle_beta 90.00
_cell_angle_gamma 90.00
loop_
_atom_site_label
_atom_site_fract_x
_atom_site_fract_y
_atom_site_fract_z
Tl1 0.000 0.000 0.000
Sb1 0.000 0.000 0.500
Te1 0.000 0.500 0.000
Cl1 0.500 0.500 0.500
```

Results
As for the energy above the lowest structure with this stoichiometry: 239 meV per atom. As for the raw formation energy: 15.86 kcal/mol of atoms.



Record 5
BaEu2Zn: optimized geometry, PBE.

CIF file:
```
data_BaEu2Zn
_chemical_formula_sum 'Ba1 Eu2 Zn1'
_symmetry_space_group_name_H-M 'P 4/m m m'
_symmetry_Int_Tables_number 123
_symmetry_space_group_name_Hall '-P 4 2'
_cell_length_a 3.924
_cell_length_b 3.924
_cell_length_c 10.028
_cell_angle_alpha 90.00
_cell_angle_beta 90.00
_cell_angle_gamma 90.00
loop_
_atom_site_label
_atom_site_fract_x
_atom_site_fract_y
_atom_site_fract_z
Ba1 0.000 0.000 0.000
Eu1 0.500 0.500 0.325
Zn1 0.000 0.000 0.500
```

Results
As for the energy above the lowest structure with this stoichiometry: 0 meV per atom. The value obtained for the formation energy is -0.097 eV/atom.



Record 6
AcSbS3: optimized geometry, PBE.

CIF file:
```
data_AcSbS3
_chemical_formula_sum 'Ac2 Sb2 S6'
_symmetry_space_group_name_H-M 'P 1 21/m 1'
_symmetry_Int_Tables_number 11
_symmetry_space_group_name_Hall '-P 2yb'
_cell_length_a 5.575
_cell_length_b 6.780
_cell_length_c 7.319
_cell_angle_alpha 90.00
_cell_angle_beta 106.40
_cell_angle_gamma 90.00
loop_
_atom_site_label
_atom_site_fract_x
_atom_site_fract_y
_atom_site_fract_z
Ac1 0.179 0.250 0.303
Sb1 0.423 0.250 0.881
S1 0.136 0.750 0.113
S2 0.303 0.522 0.655
```

Results
As for the energy above the lowest structure with this stoichiometry: 0 meV per atom. As for the raw formation energy: -27.88 kcal/mol of atoms.